1.
The following is a DFT calculation (PBE-GGA) of Ac3TlO after structural relaxation.

## Properties
For the excess energy over the best structure of this formula in the dataset, the calculation gives 0.000 eV/atom. For the total magnetization, the calculation gives 0.0 μB per formula unit. The formation energy from raw total energies comes out at -1200 meV per atom.

The structure in POSCAR format:
```
Ac3TlO
1.0
-3.764 3.654 -0.897
-1.683 -0.500 5.024
3.365 3.837 1.509
Tl Ac O
1 3 1
Cartesian
-1.041 3.495 2.818
-0.841 -0.250 2.512
1.683 1.919 0.755
-1.882 1.827 -0.448
0.000 0.000 0.000
```

=====

2.
The following is a DFT calculation (PBE-GGA) of Ac6Tl3O2 after structural relaxation.

## Properties
For the total magnetization, the calculation gives 0.0 μB per formula unit. The formation energy from raw total energies comes out at -1141 meV per atom.

The structure in POSCAR format:
```
Ac6Tl3O2
1.0
5.094 0.000 -1.000
-0.196 5.091 -1.000
0.109 0.113 14.031
Ac O Tl
6 2 3
Cartesian
0.340 3.001 1.733
2.021 4.748 10.298
4.667 2.203 10.298
3.470 3.606 4.201
1.537 1.597 7.830
2.985 0.455 1.733
2.025 2.105 10.318
2.981 3.099 1.712
4.115 4.277 7.487
0.000 0.000 0.000
0.892 0.927 4.543
```